[1]
DFT (PBE-GGA) results for crystalline Ta2SbSeF at its relaxed geometry.

Values from the calculation:
raw total energy: -0.232 Ha/atom
magnetization: 0.000 μB/cell

a = 4.3258 Å, b = 4.3258 Å, c = 4.9417 Å
α = 90.00°, β = 90.00°, γ = 90.00°
Closest atoms and distances in Å follow each position.
Space group P4/mmm (No. 123)
Asymmetric unit:
Ta  0.0000  0.5000  0.0000 [2 per cell]  2 F 2.16
Sb  0.0000  0.0000  0.5000 [1 per cell]  4 Se 3.06, 8 Ta 3.28
Se  0.5000  0.5000  0.5000 [1 per cell]  2 F 2.47
F  0.5000  0.5000  0.0000 [1 per cell]  4 Ta 2.16

***

[2]
DFT (PBE-GGA) results for crystalline Sb2TeSeF at its relaxed geometry.

Values from the calculation:
raw total energy: -0.108 Ha/atom
magnetization: 0.000 μB/cell

a = 5.4318 Å, b = 5.4318 Å, c = 5.4143 Å
α = 90.00°, β = 90.00°, γ = 90.00°
Closest atoms and distances in Å follow each position.
Space group P4/mmm (No. 123)
Asymmetric unit:
Sb  0.0000  0.5000  0.0000 [2 per cell]  2 Se 2.72
Te  0.0000  0.0000  0.5000 [1 per cell]  2 Se 2.71
Se  0.0000  0.0000  0.0000 [1 per cell]  2 Te 2.71, 4 Sb 2.72
F  0.5000  0.5000  0.5000 [1 per cell]  8 Sb 3.83, 4 Te 3.84

***

[3]
DFT (PBE-GGA) results for crystalline Sb2TeSeF at its relaxed geometry.

Values from the calculation:
raw total energy: -0.118 Ha/atom
magnetization: 0.000 μB/cell

a = 4.6667 Å, b = 4.6667 Å, c = 5.8444 Å
α = 90.00°, β = 90.00°, γ = 90.00°
Closest atoms and distances in Å follow each position.
Space group P4/mmm (No. 123)
Asymmetric unit:
Sb  0.0000  0.5000  0.0000 [2 per cell]  2 F 2.33
Te  0.0000  0.0000  0.5000 [1 per cell]  2 F 2.92
Se  0.5000  0.5000  0.5000 [1 per cell]  4 Te 3.30
F  0.0000  0.0000  0.0000 [1 per cell]  4 Sb 2.33

***

[4]
DFT (PBE-GGA) results for crystalline TlSbSeF2 at its relaxed geometry.

Values from the calculation:
raw total energy: -0.150 Ha/atom
magnetization: 0.000 μB/cell

a = 4.5892 Å, b = 4.5892 Å, c = 5.5851 Å
α = 90.00°, β = 90.00°, γ = 90.00°
Closest atoms and distances in Å follow each position.
Space group P4/mmm (No. 123)
Asymmetric unit:
Tl  0.0000  0.0000  0.0000 [1 per cell]  4 Se 3.25, 8 F 3.61
Sb  0.5000  0.5000  0.5000 [1 per cell]  4 F 2.29
Se  0.5000  0.5000  0.0000 [1 per cell]  2 Sb 2.79
F  0.0000  0.5000  0.5000 [2 per cell]  2 Sb 2.29

***

[5]
DFT (PBE-GGA) results for crystalline Y2SbSeF at its relaxed geometry.

Values from the calculation:
raw total energy: -0.207 Ha/atom
magnetization: 0.000 μB/cell

a = 5.4076 Å, b = 5.4076 Å, c = 4.4494 Å
α = 90.00°, β = 90.00°, γ = 90.00°
Closest atoms and distances in Å follow each position.
Space group P4/mmm (No. 123)
Asymmetric unit:
Y  0.0000  0.5000  0.0000 [2 per cell]  2 Se 2.70
Sb  0.0000  0.0000  0.5000 [1 per cell]  8 Y 3.50, 4 F 3.82
Se  0.5000  0.5000  0.0000 [1 per cell]  2 F 2.22
F  0.5000  0.5000  0.5000 [1 per cell]  2 Se 2.22

***

[6]
DFT (PBE-GGA) results for crystalline YSbSe2F at its relaxed geometry.

Values from the calculation:
raw total energy: -0.195 Ha/atom
magnetization: 0.000 μB/cell

a = 5.5499 Å, b = 5.5499 Å, c = 4.2240 Å
α = 90.00°, β = 90.00°, γ = 90.00°
Closest atoms and distances in Å follow each position.
Space group P4/mmm (No. 123)
Asymmetric unit:
Y  0.0000  0.0000  0.0000 [1 per cell]  2 F 2.11
Sb  0.5000  0.5000  0.5000 [1 per cell]  8 Se 3.49
Se  0.0000  0.5000  0.0000 [2 per cell]  2 Y 2.77
F  0.0000  0.0000  0.5000 [1 per cell]  2 Y 2.11

***

> The lowest raw total energy belongs to which entry?

Ta2SbSeF